Entry 1:
Entry from Alexandria via LeMat-Bulk: a geometry-optimized NaScNi2 structure (PBE-GGA). Values from VASP.

Cell and atoms, written as Quantum ESPRESSO input:
```
&SYSTEM
  ibrav = 0, nat = 4, ntyp = 3
/
ATOMIC_SPECIES
Na 22.99 Na.upf
Sc 44.96 Sc.upf
Ni 58.69 Ni.upf
ATOMIC_POSITIONS angstrom
Na 0.000 0.000 0.000
Sc 3.169 3.169 3.169
Ni 1.585 1.585 1.585
Ni 4.754 4.754 4.754
CELL_PARAMETERS angstrom
0.000 3.169 3.169
3.169 0.000 3.169
3.169 3.169 0.000
```

Output
Energy of formation from the pure elements (eV/atom): 0.108
Total energy (eV per atom): -4.695
Offset from the most stable computed form (eV per formula unit): 0.00

Entry 2:
Entry from Alexandria via LeMat-Bulk: a geometry-optimized Na3ScNi structure (PBE-GGA). Values from VASP.

Cell and atoms, written as Quantum ESPRESSO input:
```
&SYSTEM
  ibrav = 0, nat = 5, ntyp = 3
/
ATOMIC_SPECIES
Na 22.99 Na.upf
Sc 44.96 Sc.upf
Ni 58.69 Ni.upf
ATOMIC_POSITIONS angstrom
Na 0.000 0.000 2.606
Na 0.000 2.606 0.000
Na 2.606 0.000 0.000
Sc 2.606 2.606 2.606
Ni 0.000 0.000 0.000
CELL_PARAMETERS angstrom
5.212 0.000 0.000
0.000 5.212 0.000
0.000 0.000 5.212
```

Output
Energy of formation from the pure elements (eV/atom): 0.801
Total energy (eV per atom): -2.413

Entry 3:
Entry from Alexandria via LeMat-Bulk: a geometry-optimized NaSc2Ni structure (PBE-GGA). Values from VASP.

Cell and atoms, written as Quantum ESPRESSO input:
```
&SYSTEM
  ibrav = 0, nat = 4, ntyp = 3
/
ATOMIC_SPECIES
Na 22.99 Na.upf
Sc 44.96 Sc.upf
Ni 58.69 Ni.upf
ATOMIC_POSITIONS angstrom
Na 0.000 0.000 0.000
Sc 1.692 1.692 1.692
Sc 5.075 5.075 5.075
Ni 3.383 3.383 3.383
CELL_PARAMETERS angstrom
0.000 3.383 3.383
3.383 0.000 3.383
3.383 3.383 0.000
```

Output
Energy of formation from the pure elements (eV/atom): 0.138
Total energy (eV per atom): -4.803
Offset from the most stable computed form (eV per formula unit): 0.41

Entry 4:
Entry from Alexandria via LeMat-Bulk: a geometry-optimized NaScNi2 structure (PBE-GGA). Values from VASP.

Cell and atoms, written as Quantum ESPRESSO input:
```
&SYSTEM
  ibrav = 0, nat = 8, ntyp = 3
/
ATOMIC_SPECIES
Na 22.99 Na.upf
Sc 44.96 Sc.upf
Ni 58.69 Ni.upf
ATOMIC_POSITIONS angstrom
Na 0.000 0.000 0.000
Na 0.000 3.496 1.375
Sc 3.496 0.000 1.375
Sc 0.000 0.000 2.750
Ni 1.748 -1.648 2.062
Ni 1.848 1.748 0.687
Ni 1.748 5.144 -0.687
Ni 1.648 1.748 3.437
CELL_PARAMETERS angstrom
-3.496 3.496 2.750
3.496 -3.496 2.750
3.496 3.496 -2.750
```

Output
Energy of formation from the pure elements (eV/atom): 0.314
Total energy (eV per atom): -4.489
Offset from the most stable computed form (eV per formula unit): 0.82

Entry 5:
Entry from Alexandria via LeMat-Bulk: a geometry-optimized NaSc2Ni structure (PBE-GGA). Values from VASP.

Cell and atoms, written as Quantum ESPRESSO input:
```
&SYSTEM
  ibrav = 0, nat = 8, ntyp = 3
/
ATOMIC_SPECIES
Na 22.99 Na.upf
Sc 44.96 Sc.upf
Ni 58.69 Ni.upf
ATOMIC_POSITIONS angstrom
Na 0.000 0.000 0.000
Na 0.000 3.841 1.559
Sc 1.921 -1.361 2.339
Sc 2.481 1.921 0.780
Sc 1.921 5.202 -0.780
Sc 1.361 1.921 3.899
Ni 3.841 0.000 1.559
Ni 0.000 0.000 3.119
CELL_PARAMETERS angstrom
-3.841 3.841 3.119
3.841 -3.841 3.119
3.841 3.841 -3.119
```

Output
Energy of formation from the pure elements (eV/atom): 0.262
Total energy (eV per atom): -4.679
Offset from the most stable computed form (eV per formula unit): 0.91

Entry 6:
Entry from Alexandria via LeMat-Bulk: a geometry-optimized NaSc3Ni structure (PBE-GGA). Values from VASP.

Cell and atoms, written as Quantum ESPRESSO input:
```
&SYSTEM
  ibrav = 0, nat = 5, ntyp = 3
/
ATOMIC_SPECIES
Na 22.99 Na.upf
Sc 44.96 Sc.upf
Ni 58.69 Ni.upf
ATOMIC_POSITIONS angstrom
Na 0.000 0.000 0.000
Sc 0.000 0.000 2.522
Sc 0.000 2.522 0.000
Sc 2.522 0.000 0.000
Ni 2.522 2.522 2.522
CELL_PARAMETERS angstrom
5.045 0.000 0.000
0.000 5.045 0.000
0.000 0.000 5.045
```

Output
Energy of formation from the pure elements (eV/atom): 1.364
Total energy (eV per atom): -3.855
Offset from the most stable computed form (eV per formula unit): 6.48

Entry 7:
Entry from Alexandria via LeMat-Bulk: a geometry-optimized Na2ScNi structure (PBE-GGA). Values from VASP.

Cell and atoms, written as Quantum ESPRESSO input:
```
&SYSTEM
  ibrav = 0, nat = 4, ntyp = 3
/
ATOMIC_SPECIES
Na 22.99 Na.upf
Sc 44.96 Sc.upf
Ni 58.69 Ni.upf
ATOMIC_POSITIONS angstrom
Na 1.739 1.739 1.739
Na 5.217 5.217 5.217
Sc 0.000 0.000 0.000
Ni 3.478 3.478 3.478
CELL_PARAMETERS angstrom
0.000 3.478 3.478
3.478 0.000 3.478
3.478 3.478 0.000
```

Output
Energy of formation from the pure elements (eV/atom): 0.656
Total energy (eV per atom): -3.031
Offset from the most stable computed form (eV per formula unit): 1.30

Entry 8:
Entry from Alexandria via LeMat-Bulk: a geometry-optimized Na2ScNi structure (PBE-GGA). Values from VASP.

Cell and atoms, written as Quantum ESPRESSO input:
```
&SYSTEM
  ibrav = 0, nat = 8, ntyp = 3
/
ATOMIC_SPECIES
Na 22.99 Na.upf
Sc 44.96 Sc.upf
Ni 58.69 Ni.upf
ATOMIC_POSITIONS angstrom
Na 2.880 0.883 -2.900
Na 0.883 0.960 2.900
Na -0.960 1.037 8.700
Na 1.037 0.960 14.500
Sc 1.920 0.000 5.800
Sc 0.000 0.000 11.600
Ni 0.000 0.000 0.000
Ni 0.000 1.920 5.800
CELL_PARAMETERS angstrom
-1.920 1.920 11.600
1.920 -1.920 11.600
1.920 1.920 -11.600
```

Output
Energy of formation from the pure elements (eV/atom): 0.330
Total energy (eV per atom): -3.357
Offset from the most stable computed form (eV per formula unit): 0.00

Entry 9:
Entry from Alexandria via LeMat-Bulk: a geometry-optimized NaSc3Ni structure (PBE-GGA). Values from VASP.

Cell and atoms, written as Quantum ESPRESSO input:
```
&SYSTEM
  ibrav = 0, nat = 5, ntyp = 3
/
ATOMIC_SPECIES
Na 22.99 Na.upf
Sc 44.96 Sc.upf
Ni 58.69 Ni.upf
ATOMIC_POSITIONS angstrom
Na 0.000 0.000 0.000
Sc 0.000 2.506 2.506
Sc 2.506 0.000 2.506
Sc 2.506 2.506 0.000
Ni 2.506 2.506 2.506
CELL_PARAMETERS angstrom
5.011 0.000 0.000
0.000 5.011 0.000
0.000 0.000 5.011
```

Output
Energy of formation from the pure elements (eV/atom): 0.067
Total energy (eV per atom): -5.152
Offset from the most stable computed form (eV per formula unit): 0.00

Entry 10:
Entry from Alexandria via LeMat-Bulk: a geometry-optimized NaNi3Se3 structure (PBE-GGA). Values from VASP.

Cell and atoms, written as Quantum ESPRESSO input:
```
&SYSTEM
  ibrav = 0, nat = 14, ntyp = 3
/
ATOMIC_SPECIES
Na 22.99 Na.upf
Ni 58.69 Ni.upf
Se 78.96 Se.upf
ATOMIC_POSITIONS angstrom
Na 0.000 0.000 0.000
Na 3.292 3.292 3.292
Ni 0.000 1.646 3.292
Ni 0.000 4.937 3.292
Ni 1.646 3.292 0.000
Ni 3.292 0.000 1.646
Ni 3.292 0.000 4.937
Ni 4.937 3.292 0.000
Se 0.000 3.292 1.646
Se 0.000 3.292 4.937
Se 1.646 0.000 3.292
Se 3.292 1.646 0.000
Se 3.292 4.937 0.000
Se 4.937 0.000 3.292
CELL_PARAMETERS angstrom
6.583 0.000 0.000
0.000 6.583 0.000
0.000 0.000 6.583
```

Output
Formation energy (no corrections) (eV per atom): -0.327
Total energy (eV per atom): -4.486
Offset from the most stable computed form (eV per formula unit): 0.80

Entry 11:
Entry from Alexandria via LeMat-Bulk: a geometry-optimized NaNiSe2 structure (PBE-GGA). Values from VASP.

Cell and atoms, written as Quantum ESPRESSO input:
```
&SYSTEM
  ibrav = 0, nat = 8, ntyp = 3
/
ATOMIC_SPECIES
Na 22.99 Na.upf
Ni 58.69 Ni.upf
Se 78.96 Se.upf
ATOMIC_POSITIONS angstrom
Na 0.000 0.000 0.000
Na 0.000 3.586 1.673
Ni 3.586 0.000 1.673
Ni 0.000 0.000 3.345
Se 1.793 -1.168 2.509
Se 2.418 1.793 0.836
Se 1.793 4.755 -0.836
Se 1.168 1.793 4.181
CELL_PARAMETERS angstrom
-3.586 3.586 3.345
3.586 -3.586 3.345
3.586 3.586 -3.345
```

Output
Formation energy (no corrections) (eV per atom): -0.463
Total energy (eV per atom): -3.981

Entry 12:
Entry from Alexandria via LeMat-Bulk: a geometry-optimized NaNi5Se8 structure (PBE-GGA). Values from VASP.

Cell and atoms, written as Quantum ESPRESSO input:
```
&SYSTEM
  ibrav = 0, nat = 14, ntyp = 3
/
ATOMIC_SPECIES
Na 22.99 Na.upf
Ni 58.69 Ni.upf
Se 78.96 Se.upf
ATOMIC_POSITIONS angstrom
Na 0.000 0.000 0.000
Ni 1.904 0.000 3.766
Ni 1.995 0.000 6.425
Ni 8.217 0.000 3.906
Ni 14.437 0.000 1.385
Ni 14.527 0.000 4.045
Se -0.178 0.000 5.229
Se 4.130 0.000 2.723
Se 6.074 0.000 0.078
Se 6.251 0.000 5.281
Se 10.181 0.000 2.529
Se 10.358 0.000 7.732
Se 12.302 0.000 5.087
Se 16.610 0.000 2.584
CELL_PARAMETERS angstrom
9.293 -1.806 0.000
9.293 1.806 0.000
-2.179 0.000 7.810
```

Output
Formation energy (no corrections) (eV per atom): -0.337
Total energy (eV per atom): -4.488

Please write out number 9 again, unchanged.
Entry from Alexandria via LeMat-Bulk: a geometry-optimized NaSc3Ni structure (PBE-GGA). Values from VASP.

Cell and atoms, written as Quantum ESPRESSO input:
```
&SYSTEM
  ibrav = 0, nat = 5, ntyp = 3
/
ATOMIC_SPECIES
Na 22.99 Na.upf
Sc 44.96 Sc.upf
Ni 58.69 Ni.upf
ATOMIC_POSITIONS angstrom
Na 0.000 0.000 0.000
Sc 0.000 2.506 2.506
Sc 2.506 0.000 2.506
Sc 2.506 2.506 0.000
Ni 2.506 2.506 2.506
CELL_PARAMETERS angstrom
5.011 0.000 0.000
0.000 5.011 0.000
0.000 0.000 5.011
```

Output
Energy of formation from the pure elements (eV/atom): 0.067
Total energy (eV per atom): -5.152
Offset from the most stable computed form (eV per formula unit): 0.00

- What is the total energy in the twelfth record?
  -4.488 eV per atom

- The lowest total energy belongs to which entry?
  number 9

- What is the total energy in the seventh record?
  -3.031 eV per atom